Computed, not measured: a relaxed Cs3Na4Hg2 crystal at the GGA-PBE level of DFT.

The structure belongs to space group C2/m (No. 12); the cell edges are 14.657, 5.983 and 11.434 Å and the angles 90.00°, 116.55° and 90.00°. The asymmetric unit holds Cs at (0.000, 0.000, 0.000), Cs at (0.108, 0.500, 0.367), Na at (0.110, 0.000, 0.659), Na at (0.207, 0.500, 0.035) and Hg at (0.213, 0.500, 0.756).

For the mass density, the calculation gives 3.303 Mg/m³. The value obtained for the formation energy is -96 meV/atom. The volume comes out at 49.82 Å³ per atom. For the total energy, the calculation gives -0.0760 Ry per atom.

=====

Computed, not measured: a relaxed TlCoBr4 crystal at the GGA-PBE level of DFT.

The structure belongs to space group I4_1/amd (No. 141, origin choice 2); the cell edges are 10.606, 10.606 and 8.400 Å and the angles 90.00°, 90.00° and 90.00°. The asymmetric unit holds Tl at (0.000, 0.250, 0.375), Co at (0.000, 0.250, 0.875) and Br at (0.000, 0.075, 0.707).

For the mass density, the calculation gives 4.098 Mg/m³. The volume comes out at 39.37 Å³ per atom. For the total energy, the calculation gives -0.2323 Ry per atom.

=====

Computed, not measured: a relaxed YTcS2N crystal at the GGA-PBE level of DFT.

The structure belongs to space group P4/mmm (No. 123); the cell edges are 5.252, 5.252 and 4.349 Å and the angles 90.00°, 90.00° and 90.00°. The asymmetric unit holds Y at (0.000, 0.000, 0.000), Tc at (0.500, 0.500, 0.500), S at (0.000, 0.500, 0.000) and N at (0.000, 0.000, 0.500).

For the mass density, the calculation gives 3.670 Mg/m³. The volume comes out at 23.99 Å³ per atom. For the total energy, the calculation gives -0.4396 Ry per atom. The energy above the most stable polymorph in this dataset comes out at 1326 meV/atom.

=====

Computed, not measured: a relaxed ZnTc4As crystal at the GGA-PBE level of DFT.

The structure belongs to space group F-43m (No. 216); the cell edges are 7.300, 7.300 and 7.300 Å and the angles 90.00°, 90.00° and 90.00°. The asymmetric unit holds Zn at (0.000, 0.000, 0.000), Tc at (0.125, 0.125, 0.375) and As at (0.250, 0.250, 0.750).

For the mass density, the calculation gives 9.088 Mg/m³. The value obtained for the formation energy is 512 meV/atom. The volume comes out at 16.21 Å³ per atom. For the total energy, the calculation gives -0.5429 Ry per atom.

=====

Computed, not measured: a relaxed PmEuYLu crystal at the GGA-PBE level of DFT.

The structure belongs to space group F-43m (No. 216); the cell edges are 8.139, 8.139 and 8.139 Å and the angles 90.00°, 90.00° and 90.00°. The asymmetric unit holds Pm at (0.000, 0.000, 0.000), Eu at (0.000, 0.000, 0.500), Y at (0.250, 0.250, 0.250) and Lu at (0.250, 0.250, 0.750).

For the mass density, the calculation gives 6.910 Mg/m³. The value obtained for the formation energy is 143 meV/atom. The volume comes out at 33.69 Å³ per atom. For the total energy, the calculation gives -0.4674 Ry per atom.

=====

Computed, not measured: a relaxed Nd2ScRu crystal at the GGA-PBE level of DFT.

The structure belongs to space group R-3m (No. 166, hexagonal axes); the cell edges are 3.4982, 3.4982 and 31.4407 Å and the angles 90.00°, 90.00° and 120.00°. The asymmetric unit holds Nd at (0.0000, 0.0000, 0.1027), Sc at (0.0000, 0.0000, 0.0000) and Ru at (0.0000, 0.0000, 0.5000).

For the mass density, the calculation gives 6.496 Mg/m³. The value obtained for the formation energy is 271 meV/atom. The volume comes out at 27.77 Å³ per atom. For the total energy, the calculation gives -0.4421 Ry per atom.

=====

Question: Which value of mass density does entry 3 give?
Answer: 3.670 Mg/m³